1.
Here is TbPrS3 after structural relaxation from Alexandria via LeMat-Bulk. Energies are from GGA-PBE.

a b c (Å): 4.026 7.443 15.492
angles (deg): 90.00 90.00 90.00
Positions (direct):
S  0.750  0.988  0.605
S  0.750  0.352  0.284
S  0.750  0.852  0.216
S  0.750  0.488  0.895
S  0.250  0.148  0.784
S  0.250  0.012  0.395
S  0.250  0.875  0.938
S  0.750  0.625  0.438
S  0.750  0.125  0.062
S  0.250  0.648  0.716
S  0.250  0.512  0.105
S  0.250  0.375  0.562
Pr  0.750  0.856  0.799
Pr  0.750  0.356  0.701
Pr  0.250  0.644  0.299
Pr  0.250  0.144  0.201
Tb  0.750  0.231  0.456
Tb  0.750  0.731  0.044
Tb  0.250  0.769  0.544
Tb  0.250  0.269  0.956

Results
Space group ... Pnma (62)
Density ... 5.7 g cm⁻³
Total magnetization ... 0.00 μB/atom
Crystal system ... orthorhombic
Uncorrected formation energy ... -201 kJ per mole of atoms

***

2.
Here is Tb3Pr4S8 after structural relaxation from Alexandria via LeMat-Bulk. Energies are from GGA-PBE.

a b c (Å): 8.052 8.040 8.040
angles (deg): 89.98 120.08 120.08
Positions (direct):
Pr  0.500  0.000  0.000
Pr  0.000  0.500  0.000
Pr  0.000  0.000  0.000
Pr  0.000  0.000  0.500
S  0.011  0.259  0.259
S  0.000  0.254  0.746
S  0.989  0.741  0.741
S  0.492  0.741  0.741
S  0.500  0.745  0.255
S  0.000  0.746  0.254
S  0.508  0.259  0.259
S  0.500  0.255  0.745
Tb  0.500  0.500  0.500
Tb  0.500  0.000  0.500
Tb  0.500  0.500  0.000

Results
Space group ... C2/m (12)
Density ... 5.9 g cm⁻³
Total magnetization ... 0.00 μB/atom
Crystal system ... monoclinic
Uncorrected formation energy ... -195 kJ per mole of atoms

***

3.
Here is TbPr2S4 after structural relaxation from Alexandria via LeMat-Bulk. Energies are from GGA-PBE.

a b c (Å): 3.898 7.060 13.501
angles (deg): 90.00 90.00 106.03
Positions (direct):
Tb  0.373  0.745  0.250
Tb  0.627  0.255  0.750
S  0.780  0.561  0.126
S  0.220  0.439  0.874
S  0.983  0.965  0.750
S  0.500  0.000  0.000
S  0.500  0.000  0.500
S  0.220  0.439  0.626
S  0.780  0.561  0.374
S  0.017  0.035  0.250
Pr  0.871  0.741  0.572
Pr  0.129  0.259  0.072
Pr  0.129  0.259  0.428
Pr  0.871  0.741  0.928

Results
Space group ... Cmcm (63)
Density ... 5.3 g cm⁻³
Total magnetization ... 0.00 μB/atom
Crystal system ... orthorhombic
Uncorrected formation energy ... -193 kJ per mole of atoms

***

4.
Here is Tb4Pr3S8 after structural relaxation from Alexandria via LeMat-Bulk. Energies are from GGA-PBE.

a b c (Å): 7.986 8.014 8.014
angles (deg): 90.03 119.85 119.85
Positions (direct):
S  0.990  0.242  0.242
S  0.000  0.246  0.754
S  0.010  0.758  0.758
S  0.509  0.760  0.760
S  0.000  0.754  0.246
S  0.491  0.240  0.240
S  0.500  0.245  0.755
S  0.500  0.755  0.245
Tb  0.500  0.000  0.000
Tb  0.000  0.000  0.500
Tb  0.000  0.500  0.000
Tb  0.000  0.000  0.000
Pr  0.500  0.500  0.000
Pr  0.500  0.000  0.500
Pr  0.500  0.500  0.500

Results
Space group ... C2/m (12)
Density ... 6.0 g cm⁻³
Total magnetization ... 0.00 μB/atom
Crystal system ... monoclinic
Uncorrected formation energy ... -197 kJ per mole of atoms

***

5.
Here is Tb3PrS4 after structural relaxation from Alexandria via LeMat-Bulk. Energies are from GGA-PBE.

a b c (Å): 5.624 5.624 5.624
angles (deg): 90.00 90.00 90.00
Positions (direct):
S  0.000  0.000  0.500
S  0.000  0.500  0.000
S  0.500  0.000  0.000
S  0.500  0.500  0.500
Tb  0.500  0.000  0.500
Tb  0.500  0.500  0.000
Tb  0.000  0.500  0.500
Pr  0.000  0.000  0.000

Results
Space group ... Pm-3m (221)
Density ... 7.0 g cm⁻³
Total magnetization ... 0.00 μB/atom
Crystal system ... cubic
Uncorrected formation energy ... -191 kJ per mole of atoms

***

6.
Here is Tb5Pr3S8 after structural relaxation from Alexandria via LeMat-Bulk. Energies are from GGA-PBE.

a b c (Å): 7.963 7.963 8.024
angles (deg): 60.25 60.25 60.00
Positions (direct):
Tb  0.000  0.000  0.000
Tb  0.000  0.500  0.000
Tb  0.500  0.500  0.500
Tb  0.500  0.500  0.000
Tb  0.500  0.000  0.000
S  0.750  0.261  0.238
S  0.739  0.250  0.762
S  0.256  0.256  0.233
S  0.250  0.250  0.762
S  0.750  0.750  0.238
S  0.250  0.739  0.762
S  0.261  0.750  0.238
S  0.744  0.744  0.767
Pr  0.500  0.000  0.500
Pr  0.000  0.000  0.500
Pr  0.000  0.500  0.500

Results
Space group ... R-3m (166)
Density ... 6.8 g cm⁻³
Total magnetization ... 0.00 μB/atom
Crystal system ... trigonal
Uncorrected formation energy ... -194 kJ per mole of atoms

***

7.
Here is TbPr2S4 after structural relaxation from Alexandria via LeMat-Bulk. Energies are from GGA-PBE.

a b c (Å): 8.041 8.048 8.048
angles (deg): 61.20 60.03 60.03
Positions (direct):
Pr  0.000  0.000  0.000
Pr  0.000  0.000  0.500
Pr  0.000  0.500  0.500
Pr  0.500  0.000  0.500
Tb  0.000  0.500  0.000
Tb  0.500  0.500  0.000
S  0.241  0.255  0.755
S  0.746  0.263  0.245
S  0.250  0.745  0.245
S  0.759  0.745  0.245
S  0.254  0.737  0.755
S  0.746  0.745  0.763
S  0.750  0.255  0.755
S  0.254  0.255  0.237

Results
Space group ... Imma (74)
Density ... 5.1 g cm⁻³
Total magnetization ... 0.00 μB/atom
Crystal system ... orthorhombic
Uncorrected formation energy ... -193 kJ per mole of atoms

***

8.
Here is TbPr3S4 after structural relaxation from Alexandria via LeMat-Bulk. Energies are from GGA-PBE.

a b c (Å): 7.037 7.079 8.067
angles (deg): 90.00 90.00 109.35
Positions (direct):
S  0.006  0.756  0.369
S  0.994  0.244  0.631
S  0.000  0.761  0.881
S  0.500  0.239  0.881
S  0.506  0.756  0.631
S  0.000  0.239  0.119
S  0.500  0.761  0.119
S  0.494  0.244  0.369
Pr  0.250  0.500  0.874
Pr  0.250  0.000  0.624
Pr  0.750  0.500  0.623
Pr  0.750  0.000  0.376
Pr  0.750  0.500  0.126
Pr  0.250  0.500  0.377
Tb  0.250  0.000  0.126
Tb  0.750  0.000  0.874

Results
Space group ... P2/c (13)
Density ... 6.2 g cm⁻³
Total magnetization ... 0.00 μB/atom
Crystal system ... monoclinic
Uncorrected formation energy ... -195 kJ per mole of atoms

***

9.
Here is Tb5Pr3S12 after structural relaxation from Alexandria via LeMat-Bulk. Energies are from GGA-PBE.

a b c (Å): 14.175 14.175 14.175
angles (deg): 109.47 109.47 109.47
Positions (direct):
Pr  0.250  0.625  0.875
Pr  0.125  0.875  0.750
Pr  0.750  0.875  0.625
Pr  0.375  0.750  0.625
Pr  0.750  0.375  0.125
Pr  0.375  0.625  0.250
Pr  0.125  0.250  0.875
Pr  0.875  0.750  0.125
Pr  0.625  0.250  0.375
Pr  0.250  0.125  0.375
Pr  0.875  0.125  0.250
Pr  0.625  0.375  0.750
S  0.674  0.454  0.585
S  0.915  0.090  0.870
S  0.326  0.546  0.415
S  0.415  0.370  0.590
S  0.454  0.674  0.085
S  0.046  0.630  0.720
S  0.410  0.280  0.326
S  0.915  0.826  0.546
S  0.870  0.590  0.915
S  0.780  0.454  0.370
S  0.090  0.174  0.220
S  0.630  0.046  0.220
S  0.546  0.220  0.130
S  0.720  0.130  0.046
S  0.546  0.326  0.915
S  0.630  0.585  0.910
S  0.130  0.410  0.085
S  0.585  0.630  0.410
S  0.174  0.090  0.720
S  0.410  0.130  0.585
S  0.590  0.720  0.674
S  0.280  0.870  0.954
S  0.954  0.370  0.280
S  0.090  0.915  0.370
S  0.085  0.910  0.130
S  0.780  0.326  0.910
S  0.046  0.415  0.826
S  0.085  0.174  0.454
S  0.220  0.674  0.090
S  0.370  0.415  0.090
S  0.415  0.046  0.326
S  0.826  0.915  0.046
S  0.130  0.720  0.546
S  0.674  0.220  0.590
S  0.220  0.546  0.630
S  0.910  0.085  0.630
S  0.454  0.780  0.870
S  0.280  0.410  0.826
S  0.174  0.085  0.954
S  0.370  0.954  0.780
S  0.826  0.910  0.280
S  0.585  0.954  0.674
S  0.326  0.780  0.410
S  0.954  0.585  0.174
S  0.910  0.826  0.780
S  0.720  0.590  0.174
S  0.870  0.280  0.454
S  0.590  0.870  0.415
Tb  0.500  0.000  0.500
Tb  0.875  0.250  0.625
Tb  0.750  0.625  0.375
Tb  0.500  0.500  0.500
Tb  0.750  0.125  0.875
Tb  0.875  0.625  0.750
Tb  0.000  0.000  0.000
Tb  0.125  0.375  0.250
Tb  0.375  0.250  0.125
Tb  0.500  0.000  0.000
Tb  0.000  0.500  0.000
Tb  0.625  0.750  0.875
Tb  0.250  0.375  0.625
Tb  0.000  0.500  0.500
Tb  0.625  0.875  0.250
Tb  0.250  0.875  0.125
Tb  0.500  0.500  0.000
Tb  0.375  0.125  0.750
Tb  0.000  0.000  0.500
Tb  0.125  0.750  0.375

Results
Space group ... Ia-3d (230)
Density ... 4.9 g cm⁻³
Total magnetization ... 0.00 μB/atom
Crystal system ... cubic
Uncorrected formation energy ... -185 kJ per mole of atoms

***

10.
Here is Tb4PrS7 after structural relaxation from Alexandria via LeMat-Bulk. Energies are from GGA-PBE.

a b c (Å): 3.853 6.825 11.750
angles (deg): 103.91 90.00 106.39
Positions (direct):
Tb  0.112  0.224  0.417
Tb  0.300  0.600  0.186
Tb  0.001  0.002  0.003
Tb  0.701  0.401  0.815
Pr  0.889  0.777  0.581
S  0.251  0.503  0.650
S  0.343  0.686  0.950
S  0.659  0.319  0.051
S  0.046  0.092  0.791
S  0.504  0.007  0.494
S  0.956  0.912  0.215
S  0.738  0.476  0.347

Results
Space group ... Cm (8)
Density ... 5.8 g cm⁻³
Total magnetization ... 0.00 μB/atom
Crystal system ... monoclinic
Uncorrected formation energy ... -198 kJ per mole of atoms

***

11.
Here is TbPr4S4 after structural relaxation from Alexandria via LeMat-Bulk. Energies are from GGA-PBE.

a b c (Å): 4.051 7.033 8.994
angles (deg): 74.87 76.99 73.26
Positions (direct):
Pr  0.301  0.598  0.800
Pr  0.699  0.402  0.200
Pr  0.104  0.193  0.600
Pr  0.896  0.807  0.400
S  0.904  0.286  0.905
S  0.304  0.099  0.294
S  0.696  0.901  0.706
S  0.096  0.714  0.095
Tb  0.500  0.000  0.000

Results
Space group ... C2/m (12)
Density ... 6.0 g cm⁻³
Total magnetization ... 0.00 μB/atom
Crystal system ... monoclinic
Uncorrected formation energy ... -171 kJ per mole of atoms

***

12.
Here is TbPr6S8 after structural relaxation from Alexandria via LeMat-Bulk. Energies are from GGA-PBE.

a b c (Å): 8.177 8.177 8.177
angles (deg): 60.00 60.00 60.00
Positions (direct):
S  0.758  0.758  0.242
S  0.242  0.758  0.242
S  0.750  0.750  0.750
S  0.250  0.250  0.250
S  0.242  0.758  0.758
S  0.758  0.242  0.758
S  0.242  0.242  0.758
S  0.758  0.242  0.242
Pr  0.000  0.500  0.500
Pr  0.500  0.000  0.500
Pr  0.000  0.500  0.000
Pr  0.000  0.000  0.500
Pr  0.500  0.000  0.000
Pr  0.500  0.500  0.000
Tb  0.000  0.000  0.000

Results
Space group ... Fm-3m (225)
Density ... 5.4 g cm⁻³
Total magnetization ... 0.00 μB/atom
Crystal system ... cubic
Uncorrected formation energy ... -197 kJ per mole of atoms

***

13.
Here is Tb3PrS4 after structural relaxation from Alexandria via LeMat-Bulk. Energies are from GGA-PBE.

a b c (Å): 3.931 6.909 6.909
angles (deg): 108.94 90.00 90.00
Positions (direct):
Tb  0.500  0.500  0.500
Tb  0.000  0.500  0.000
Tb  0.000  0.000  0.500
S  0.000  0.261  0.261
S  0.500  0.255  0.745
S  0.500  0.745  0.255
S  0.000  0.739  0.739
Pr  0.500  0.000  0.000

Results
Space group ... Cmmm (65)
Density ... 7.0 g cm⁻³
Total magnetization ... 0.00 μB/atom
Crystal system ... orthorhombic
Uncorrected formation energy ... -194 kJ per mole of atoms

***

14.
Here is TbPrS3 after structural relaxation from Alexandria via LeMat-Bulk. Energies are from GGA-PBE.

a b c (Å): 3.996 7.928 7.911
angles (deg): 94.42 90.00 90.00
Positions (direct):
S  0.750  0.626  0.386
S  0.250  0.681  0.023
S  0.750  0.319  0.977
S  0.250  0.902  0.679
S  0.250  0.374  0.614
S  0.750  0.098  0.321
Pr  0.750  0.623  0.770
Pr  0.250  0.377  0.230
Tb  0.250  0.853  0.323
Tb  0.750  0.147  0.677

Results
Space group ... P2_1/m (11)
Density ... 5.3 g cm⁻³
Total magnetization ... 0.00 μB/atom
Crystal system ... monoclinic
Uncorrected formation energy ... -198 kJ per mole of atoms

***

15.
Here is TbPrS2 after structural relaxation from Alexandria via LeMat-Bulk. Energies are from GGA-PBE.

a b c (Å): 3.915 3.915 7.366
angles (deg): 74.59 74.59 60.00
Positions (direct):
Tb  0.494  0.494  0.517
S  0.087  0.087  0.740
S  0.247  0.247  0.260
Pr  0.672  0.672  0.983

Results
Space group ... R3m (160)
Density ... 6.5 g cm⁻³
Total magnetization ... 0.00 μB/atom
Crystal system ... trigonal
Uncorrected formation energy ... -189 kJ per mole of atoms

***

16.
Here is Tb4PrS6 after structural relaxation from Alexandria via LeMat-Bulk. Energies are from GGA-PBE.

a b c (Å): 3.899 6.764 20.016
angles (deg): 90.00 90.00 106.75
Positions (direct):
Tb  0.861  0.723  0.540
Tb  0.408  0.816  0.127
Tb  0.408  0.816  0.373
Tb  0.592  0.184  0.627
Tb  0.139  0.277  0.460
Tb  0.139  0.277  0.040
Tb  0.861  0.723  0.960
Tb  0.592  0.184  0.873
S  0.232  0.463  0.911
S  0.048  0.095  0.165
S  0.768  0.537  0.089
S  0.315  0.630  0.250
S  0.768  0.537  0.411
S  0.952  0.905  0.665
S  0.048  0.095  0.335
S  0.232  0.463  0.589
S  0.685  0.370  0.750
S  0.500  0.000  0.500
S  0.500  0.000  0.000
S  0.952  0.905  0.835
Pr  0.654  0.308  0.250
Pr  0.346  0.692  0.750

Results
Space group ... Cmcm (63)
Density ... 6.4 g cm⁻³
Total magnetization ... 0.00 μB/atom
Crystal system ... orthorhombic
Uncorrected formation energy ... -198 kJ per mole of atoms